## LuPa2Sn (PBE)

Data for a geometry-optimized LuPa2Sn structure.

The uncorrected energy comes out at -80.43 eV/cell. The energy relative to the lowest polymorph listed for this composition is 383 meV/atom. As for the density of states at the Fermi level: 21.54 states/eV per cell. The formation energy comes out at 0.176 eV/atom.

It has space group R-3m (No. 166, hexagonal axes), with a = 3.2110 Å, b = 3.2110 Å, c = 35.2560 Å, α = 90.00°, β = 90.00° and γ = 120.00°. The inequivalent atoms are Lu at (0.0000, 0.0000, 0.0000), Pa at (0.0000, 0.0000, 0.0883) and Sn at (0.0000, 0.0000, 0.5000).